Below is Li2Fe2SbO6 after structural relaxation, with properties calculated at the GGA+U level.

Structure (CIF):
```
data_Li2Fe2SbO6
_chemical_formula_sum 'Li8 Fe8 Sb4 O24'
_cell_length_a 9.1054
_cell_length_b 5.3728
_cell_length_c 10.2473
_cell_angle_alpha 90.00
_cell_angle_beta 90.00
_cell_angle_gamma 90.00
_symmetry_space_group_name_H-M 'C m c e'
_symmetry_Int_Tables_number 64
_symmetry_space_group_name_Hall '-C 2ac 2'
loop_
_atom_site_label
_atom_site_type_symbol
_atom_site_fract_x
_atom_site_fract_y
_atom_site_fract_z
_atom_site_occupancy
Li1 Li 0.2500 0.1303 0.2500 1
Fe1 Fe 0.1572 0.0000 0.0000 1
Sb1 Sb 0.0000 0.0000 0.5000 1
O1 O 0.0000 0.1868 0.8964 1
O2 O 0.1664 0.1519 0.6082 1
```

final energy = -6.018 eV per atom